An optimized crystal structure of SrPrDyCoO6, computed with PBE+U.

Structure (extended XYZ):
```
10
Lattice="0.000 4.023 4.023 4.023 0.000 4.023 4.023 4.023 0.000" Properties=species:S:1:pos:R:3 pbc="T T T"
O 4.023 4.023 1.861
O 4.023 4.023 6.185
O 4.023 6.185 4.023
O 6.185 4.023 4.023
O 4.023 1.861 4.023
O 1.861 4.023 4.023
Dy 4.023 4.023 4.023
Pr 6.035 6.035 6.035
Sr 2.012 2.012 2.012
Co 0.000 0.000 0.000
```

Density ... 6.96 Mg/m³
V ... 13.0 A^3/atom
DOS at the Fermi energy ... 5.470 states/eV/cell
Spin magnetization ... 1.00 Bohr magnetons per cell
Total energy ... -6.9725 eV per atom